# Ga2AgW | the Alexandria database | PBE | relaxed
# Formation enthalpy at 0 K   0.124 eV/atom
# Energy above the lowest structure with this stoichiometry   0 meV/atom
# D(E_F)   0.490 states/eV/atom
data_Ga2AgW
_space_group_name_H-M_alt 'R -3 m'
_space_group_IT_number 166
_space_group_name_Hall '-R 3 2"'
_cell_length_a 2.8984
_cell_length_b 2.8984
_cell_length_c 27.0764
_cell_angle_alpha 90.00
_cell_angle_beta 90.00
_cell_angle_gamma 120.00
loop_
_atom_site_label
_atom_site_type_symbol
_atom_site_fract_x
_atom_site_fract_y
_atom_site_fract_z
Ga1 Ga 0.0000 0.0000 0.2480
Ag1 Ag 0.0000 0.0000 0.0000
W1 W 0.0000 0.0000 0.5000

# Rb3Ce3TiO8 | the Alexandria database | PBE | relaxed
# Formation energy (no corrections)   -2.648 eV/atom
# D(E_F)   0.780 states/eV/atom
data_Rb3Ce3TiO8
_space_group_name_H-M_alt 'R -3 m'
_space_group_IT_number 166
_space_group_name_Hall '-R 3 2"'
_cell_length_a 7.0079
_cell_length_b 7.0079
_cell_length_c 19.8616
_cell_angle_alpha 90.00
_cell_angle_beta 90.00
_cell_angle_gamma 120.00
loop_
_atom_site_label
_atom_site_type_symbol
_atom_site_fract_x
_atom_site_fract_y
_atom_site_fract_z
Rb1 Rb 0.0000 0.5000 0.0000
Ce1 Ce 0.0000 0.5000 0.5000
Ti1 Ti 0.0000 0.0000 0.5000
O1 O 0.0000 0.0000 0.2275
O2 O 0.0317 0.5158 0.2202

# MnZnAsSe2 | the Alexandria database | PBE | relaxed
# Formation energy (no corrections)   0.301 eV/atom
# Energy above the lowest structure with this stoichiometry   0 meV/atom
# D(E_F)   0.744 states/eV/atom
data_MnZnAsSe2
_space_group_name_H-M_alt 'P 4/m m m'
_space_group_IT_number 123
_space_group_name_Hall '-P 4 2'
_cell_length_a 4.836
_cell_length_b 4.836
_cell_length_c 4.662
_cell_angle_alpha 90.00
_cell_angle_beta 90.00
_cell_angle_gamma 90.00
loop_
_atom_site_label
_atom_site_type_symbol
_atom_site_fract_x
_atom_site_fract_y
_atom_site_fract_z
Mn1 Mn 0.000 0.000 0.000
Zn1 Zn 0.500 0.500 0.500
As1 As 0.000 0.000 0.500
Se1 Se 0.000 0.500 0.000

What is the D(E_F) in the third record? 0.744 states/eV/atom

Among the records above, which one has the highest D(E_F)? Rb3Ce3TiO8

Among the records above, which one has the highest D(E_F)? Rb3Ce3TiO8